No. 1
# AcTlPd2 (PBE, optimized geometry)
# Calculated total energy: -4.6764 eV per atom
# DOS(E_F): 1.26 states/eV/cell
# Formation energy from the elements: -0.461 eV/atom
data_AcTlPd2
_space_group_name_H-M_alt 'P 1'
_space_group_IT_number 1
_space_group_name_Hall 'P 1'
_cell_length_a 4.963
_cell_length_b 4.963
_cell_length_c 3.876
_cell_angle_alpha 90.00
_cell_angle_beta 90.00
_cell_angle_gamma 90.00
loop_
_atom_site_label
_atom_site_fract_x
_atom_site_fract_y
_atom_site_fract_z
Ac1 0.000 0.000 0.000
Tl1 0.500 0.500 0.000
Pd1 0.000 0.500 0.500
Pd2 0.500 0.000 0.500

No. 2
# CePm2Dy3S6 (PBE, optimized geometry)
# Calculated total energy: -6.5218 eV per atom
# E_form (uncorrected): -2.02 eV per atom
# DOS(E_F): 9.69 states/eV/cell
data_CePm2Dy3S6
_space_group_name_H-M_alt 'P 1'
_space_group_IT_number 1
_space_group_name_Hall 'P 1'
_cell_length_a 8.889
_cell_length_b 8.889
_cell_length_c 7.994
_cell_angle_alpha 103.55
_cell_angle_beta 103.55
_cell_angle_gamma 25.63
loop_
_atom_site_label
_atom_site_fract_x
_atom_site_fract_y
_atom_site_fract_z
Ce1 0.000 0.000 0.000
Pm1 0.334 0.334 0.669
Pm2 0.666 0.666 0.331
Dy1 0.000 0.000 0.500
Dy2 0.333 0.333 0.165
Dy3 0.667 0.667 0.835
S1 0.165 0.165 0.590
S2 0.170 0.170 0.077
S3 0.497 0.497 0.257
S4 0.503 0.503 0.743
S5 0.830 0.830 0.923
S6 0.835 0.835 0.410

No. 3
# Sr2NbBr (PBE, optimized geometry)
# Calculated total energy: -3.4787 eV per atom
# E_form (uncorrected): 0.30 eV per atom
# DOS(E_F): 12.50 states/eV/cell
# Energy above the lowest structure with this stoichiometry: 0.000 eV per atom
data_Sr2NbBr
_space_group_name_H-M_alt 'P 1'
_space_group_IT_number 1
_space_group_name_Hall 'P 1'
_cell_length_a 8.686
_cell_length_b 8.686
_cell_length_c 8.394
_cell_angle_alpha 90.00
_cell_angle_beta 90.00
_cell_angle_gamma 90.00
loop_
_atom_site_label
_atom_site_fract_x
_atom_site_fract_y
_atom_site_fract_z
Sr1 0.220 0.250 0.125
Sr2 0.250 0.720 0.375
Sr3 0.250 0.780 0.875
Sr4 0.280 0.250 0.625
Sr5 0.720 0.750 0.625
Sr6 0.750 0.220 0.875
Sr7 0.750 0.280 0.375
Sr8 0.780 0.750 0.125
Nb1 0.000 0.000 0.500
Nb2 0.000 0.500 0.750
Nb3 0.500 0.000 0.250
Nb4 0.500 0.500 0.000
Br1 0.000 0.000 0.000
Br2 0.000 0.500 0.250
Br3 0.500 0.000 0.750
Br4 0.500 0.500 0.500

No. 4
# Te2Pd2Se (PBE, optimized geometry)
# Calculated total energy: -4.0954 eV per atom
# E_form (uncorrected): -0.06 eV per atom
# DOS(E_F): 7.93 states/eV/cell
# Energy above the lowest structure with this stoichiometry: 0.230 eV per atom
data_Te2Pd2Se
_space_group_name_H-M_alt 'P 1'
_space_group_IT_number 1
_space_group_name_Hall 'P 1'
_cell_length_a 3.900
_cell_length_b 3.900
_cell_length_c 14.987
_cell_angle_alpha 90.00
_cell_angle_beta 90.00
_cell_angle_gamma 90.00
loop_
_atom_site_label
_atom_site_fract_x
_atom_site_fract_y
_atom_site_fract_z
Te1 0.000 0.000 0.123
Te2 0.000 0.000 0.877
Te3 0.500 0.500 0.377
Te4 0.500 0.500 0.623
Pd1 0.000 0.500 0.250
Pd2 0.000 0.500 0.750
Pd3 0.500 0.000 0.250
Pd4 0.500 0.000 0.750
Se1 0.000 0.000 0.500
Se2 0.500 0.500 0.000

No. 5
# Tl2Te (PBE, optimized geometry)
# Calculated total energy: -2.6776 eV per atom
# E_form (uncorrected): -0.05 eV per atom
# DOS(E_F): 0.54 states/eV/cell
# Energy above the lowest structure with this stoichiometry: 0.245 eV per atom
data_Tl2Te
_space_group_name_H-M_alt 'P 1'
_space_group_IT_number 1
_space_group_name_Hall 'P 1'
_cell_length_a 8.069
_cell_length_b 8.069
_cell_length_c 8.763
_cell_angle_alpha 90.00
_cell_angle_beta 90.00
_cell_angle_gamma 120.00
loop_
_atom_site_label
_atom_site_fract_x
_atom_site_fract_y
_atom_site_fract_z
Tl1 0.000 0.000 0.000
Tl2 0.000 0.000 0.500
Tl3 0.180 0.359 0.250
Tl4 0.180 0.820 0.250
Tl5 0.359 0.180 0.750
Tl6 0.641 0.820 0.250
Tl7 0.820 0.180 0.750
Tl8 0.820 0.641 0.750
Te1 0.333 0.667 0.501
Te2 0.333 0.667 0.999
Te3 0.667 0.333 0.001
Te4 0.667 0.333 0.499

No. 6
# TbErTh2 (PBE, optimized geometry)
# Calculated total energy: -5.9592 eV per atom
# DOS(E_F): 5.81 states/eV/cell
# Energy above the lowest structure with this stoichiometry: 0.017 eV per atom
# Formation energy from the elements: 0.049 eV/atom
data_TbErTh2
_space_group_name_H-M_alt 'P 1'
_space_group_IT_number 1
_space_group_name_Hall 'P 1'
_cell_length_a 3.552
_cell_length_b 3.552
_cell_length_c 10.093
_cell_angle_alpha 90.00
_cell_angle_beta 90.00
_cell_angle_gamma 90.00
loop_
_atom_site_label
_atom_site_fract_x
_atom_site_fract_y
_atom_site_fract_z
Tb1 0.000 0.000 0.000
Er1 0.000 0.000 0.500
Th1 0.500 0.500 0.252
Th2 0.500 0.500 0.748

No. 7
# La2TmCd3 (PBE, optimized geometry)
# Calculated total energy: -3.1512 eV per atom
# DOS(E_F): 14.92 states/eV/cell
# Energy above the lowest structure with this stoichiometry: 0.008 eV per atom
# Formation energy from the elements: -0.306 eV/atom
data_La2TmCd3
_space_group_name_H-M_alt 'P 1'
_space_group_IT_number 1
_space_group_name_Hall 'P 1'
_cell_length_a 5.451
_cell_length_b 5.451
_cell_length_c 13.431
_cell_angle_alpha 90.00
_cell_angle_beta 90.00
_cell_angle_gamma 120.00
loop_
_atom_site_label
_atom_site_fract_x
_atom_site_fract_y
_atom_site_fract_z
La1 0.000 0.000 0.000
La2 0.000 0.000 0.500
La3 0.333 0.667 0.173
La4 0.667 0.333 0.827
Tm1 0.333 0.667 0.667
Tm2 0.667 0.333 0.333
Cd1 0.000 0.000 0.256
Cd2 0.000 0.000 0.744
Cd3 0.333 0.667 0.420
Cd4 0.333 0.667 0.911
Cd5 0.667 0.333 0.089
Cd6 0.667 0.333 0.580

No. 8
# CuP5 (PBE, optimized geometry)
# Calculated total energy: -4.8728 eV per atom
# DOS(E_F): 4.48 states/eV/cell
# Energy above the lowest structure with this stoichiometry: 0.000 eV per atom
# Formation energy from the elements: 0.318 eV/atom
data_CuP5
_space_group_name_H-M_alt 'P 1'
_space_group_IT_number 1
_space_group_name_Hall 'P 1'
_cell_length_a 2.456
_cell_length_b 16.051
_cell_length_c 4.811
_cell_angle_alpha 90.00
_cell_angle_beta 90.00
_cell_angle_gamma 90.00
loop_
_atom_site_label
_atom_site_fract_x
_atom_site_fract_y
_atom_site_fract_z
Cu1 0.000 0.000 0.000
Cu2 0.500 0.500 0.000
P1 0.000 0.000 0.500
P2 0.000 0.350 0.500
P3 0.000 0.365 0.000
P4 0.000 0.635 0.000
P5 0.000 0.650 0.500
P6 0.500 0.135 0.000
P7 0.500 0.150 0.500
P8 0.500 0.500 0.500
P9 0.500 0.850 0.500
P10 0.500 0.865 0.000

No. 9
# Pm2GaSb4 (PBE, optimized geometry)
# Calculated total energy: -4.8237 eV per atom
# E_form (uncorrected): -0.68 eV per atom
# DOS(E_F): 2.33 states/eV/cell
data_Pm2GaSb4
_space_group_name_H-M_alt 'P 1'
_space_group_IT_number 1
_space_group_name_Hall 'P 1'
_cell_length_a 4.359
_cell_length_b 4.359
_cell_length_c 10.491
_cell_angle_alpha 90.00
_cell_angle_beta 90.00
_cell_angle_gamma 90.00
loop_
_atom_site_label
_atom_site_fract_x
_atom_site_fract_y
_atom_site_fract_z
Pm1 0.000 0.500 0.235
Pm2 0.500 0.000 0.765
Ga1 0.000 0.000 0.500
Sb1 0.000 0.000 0.000
Sb2 0.000 0.500 0.662
Sb3 0.500 0.000 0.338
Sb4 0.500 0.500 0.000

No. 10
# Tb3PrTl3 (PBE, optimized geometry)
# Calculated total energy: -3.9452 eV per atom
# DOS(E_F): 34.13 states/eV/cell
# Energy above the lowest structure with this stoichiometry: 0.000 eV per atom
# Formation energy from the elements: -0.264 eV/atom
data_Tb3PrTl3
_space_group_name_H-M_alt 'P 1'
_space_group_IT_number 1
_space_group_name_Hall 'P 1'
_cell_length_a 9.456
_cell_length_b 9.456
_cell_length_c 9.456
_cell_angle_alpha 90.00
_cell_angle_beta 90.00
_cell_angle_gamma 90.00
loop_
_atom_site_label
_atom_site_fract_x
_atom_site_fract_y
_atom_site_fract_z
Tb1 0.079 0.421 0.579
Tb2 0.178 0.822 0.322
Tb3 0.179 0.179 0.179
Tb4 0.321 0.821 0.679
Tb5 0.322 0.178 0.822
Tb6 0.421 0.579 0.079
Tb7 0.579 0.079 0.421
Tb8 0.678 0.678 0.678
Tb9 0.679 0.321 0.821
Tb10 0.821 0.679 0.321
Tb11 0.822 0.322 0.178
Tb12 0.921 0.921 0.921
Pr1 0.072 0.572 0.928
Pr2 0.428 0.428 0.428
Pr3 0.572 0.928 0.072
Pr4 0.928 0.072 0.572
Tl1 0.000 0.243 0.883
Tl2 0.000 0.743 0.617
Tl3 0.117 0.500 0.257
Tl4 0.243 0.883 0.000
Tl5 0.257 0.117 0.500
Tl6 0.383 0.500 0.757
Tl7 0.500 0.257 0.117
Tl8 0.500 0.757 0.383
Tl9 0.617 0.000 0.743
Tl10 0.743 0.617 0.000
Tl11 0.757 0.383 0.500
Tl12 0.883 0.000 0.243

No. 11
# HoTm6Mg12 (PBE, optimized geometry)
# Calculated total energy: -2.3443 eV per atom
# DOS(E_F): 16.29 states/eV/cell
# Formation energy from the elements: 0.316 eV/atom
data_HoTm6Mg12
_space_group_name_H-M_alt 'P 1'
_space_group_IT_number 1
_space_group_name_Hall 'P 1'
_cell_length_a 8.774
_cell_length_b 8.774
_cell_length_c 8.774
_cell_angle_alpha 107.29
_cell_angle_beta 107.29
_cell_angle_gamma 107.29
loop_
_atom_site_label
_atom_site_fract_x
_atom_site_fract_y
_atom_site_fract_z
Ho1 0.000 0.000 0.000
Tm1 0.269 0.682 0.682
Tm2 0.318 0.318 0.731
Tm3 0.318 0.731 0.318
Tm4 0.682 0.269 0.682
Tm5 0.682 0.682 0.269
Tm6 0.731 0.318 0.318
Mg1 0.105 0.500 0.895
Mg2 0.105 0.895 0.500
Mg3 0.128 0.345 0.345
Mg4 0.345 0.128 0.345
Mg5 0.345 0.345 0.128
Mg6 0.500 0.105 0.895
Mg7 0.500 0.895 0.105
Mg8 0.655 0.655 0.872
Mg9 0.655 0.872 0.655
Mg10 0.872 0.655 0.655
Mg11 0.895 0.105 0.500
Mg12 0.895 0.500 0.105

No. 12
# SiPIr2 (PBE, optimized geometry)
# Calculated total energy: -7.4205 eV per atom
# E_form (uncorrected): -0.28 eV per atom
# DOS(E_F): 1.95 states/eV/cell
# Energy above the lowest structure with this stoichiometry: 0.086 eV per atom
data_SiPIr2
_space_group_name_H-M_alt 'P 1'
_space_group_IT_number 1
_space_group_name_Hall 'P 1'
_cell_length_a 2.881
_cell_length_b 2.908
_cell_length_c 6.913
_cell_angle_alpha 90.00
_cell_angle_beta 90.00
_cell_angle_gamma 90.00
loop_
_atom_site_label
_atom_site_fract_x
_atom_site_fract_y
_atom_site_fract_z
Si1 0.000 0.000 0.000
P1 0.000 0.500 0.500
Ir1 0.500 0.500 0.207
Ir2 0.500 0.500 0.793

no.,spin magnetization (μB per cell)
1,0.0
2,1.0
3,19.9
4,0.0
5,0.0
6,0.0
7,1.3
8,0.0
9,0.0
10,0.0
11,0.0
12,0.0